# PBE+U MgGe2WO8, optimized geometry
data_MgGe2WO8
_space_group_name_H-M_alt 'I -4 m 2'
_space_group_IT_number 119
_space_group_name_Hall 'I -4 -2'
_cell_length_a 6.556
_cell_length_b 6.556
_cell_length_c 6.231
_cell_angle_alpha 90.00
_cell_angle_beta 90.00
_cell_angle_gamma 90.00
loop_
_atom_site_label
_atom_site_type_symbol
_atom_site_fract_x
_atom_site_fract_y
_atom_site_fract_z
Mg1 Mg 0.000 0.000 0.000
Ge1 Ge 0.000 0.000 0.500
Ge2 Ge 0.000 0.500 0.250
W1 W 0.000 0.500 0.750
O1 O 0.000 0.200 0.686
O2 O 0.000 0.316 0.042
# Density of states at the Fermi level (states/eV per atom): 0.000
# Raw total energy (Ha/atom): -0.2425